No. 1
Y2CoNiH | PBE-GGA | optimized geometry

Output
D(E_F): 2.06 states/eV/cell
polymorph energy (0 for the lowest one): 0.116 eV/f.u.

a = 4.793 Å, b = 4.793 Å, c = 3.457 Å
α = 90.00°, β = 90.00°, γ = 90.00°
Positions (direct):
Y 0.000 0.500 0.000
Y 0.500 0.000 0.000
Co 0.000 0.000 0.500
Ni 0.500 0.500 0.500
H 0.500 0.500 0.000



No. 2
VRhI3 | PBE-GGA | optimized geometry

Output
energy relative to the elements, uncorrected: 3.41 eV/f.u.
D(E_F): 13.43 states/eV/cell
polymorph energy (0 for the lowest one): 0.543 eV/f.u.

a = 5.520 Å, b = 5.520 Å, c = 5.520 Å
α = 90.00°, β = 90.00°, γ = 90.00°
Positions (direct):
V 0.000 0.000 0.000
Rh 0.500 0.500 0.500
I 0.000 0.000 0.500
I 0.000 0.500 0.000
I 0.500 0.000 0.000



No. 3
HoCuTe2 | PBE-GGA | optimized geometry

Output
energy relative to the elements, uncorrected: -2.94 eV/f.u.

a = 8.584 Å, b = 8.584 Å, c = 8.584 Å
α = 30.45°, β = 30.45°, γ = 30.45°
Positions (direct):
Ho 0.000 0.000 0.000
Cu 0.500 0.500 0.500
Te 0.401 0.401 0.401
Te 0.599 0.599 0.599



For the records above, the corresponding electronic total energy values read -6.14 -3.54 -4.47 eV per atom.
For the records above, the corresponding calculated density values read 6.20 5.28 5.58 g cm⁻³.